The following is a DFT calculation (PBE with a Hubbard U) of a relaxed structure of Na2ScMoO6.

Results
As for the energy: -6.597 eV/atom. As for the space group: P2_1/c, No. 14.

Cell lengths 5.5872, 5.6483, 9.7127 Å; angles 90.00, 125.08, 90.00 degrees
Fractional coordinates of all 20 atoms:
Na1 0.2463 0.0206 0.2502
Na2 0.2463 0.4794 0.7502
Na3 0.7537 0.5206 0.2498
Na4 0.7537 0.9794 0.7498
Sc1 0.5000 0.0000 0.0000
Sc2 0.5000 0.5000 0.5000
Mo1 0.0000 0.0000 0.5000
Mo2 0.0000 0.5000 0.0000
O1 0.1753 0.2281 0.9686
O2 0.1753 0.2719 0.4686
O3 0.2427 0.7078 0.9706
O4 0.2427 0.7922 0.4706
O5 0.2992 0.0121 0.7398
O6 0.2992 0.4879 0.2398
O7 0.7008 0.5121 0.7602
O8 0.7008 0.9879 0.2602
O9 0.7573 0.2078 0.5294
O10 0.7573 0.2922 0.0294
O11 0.8247 0.7281 0.5314
O12 0.8247 0.7719 0.0314